No. 1
DFT (meta-GGA SCAN) results for a crystal of Er6MnSi2S14 relaxed with PBEsol.

Structure (POSCAR):
```
Er6MnSi2S14
1.0
9.639 0.000 0.000
-4.820 8.348 0.000
0.000 0.000 5.554
Er Mn Si S
6 1 2 14
Cartesian
-1.995 3.869 0.000
2.003 1.695 2.800
-0.472 8.141 0.000
2.466 4.686 0.000
7.170 0.887 2.800
5.286 5.766 2.800
4.820 2.783 1.276
0.000 0.000 0.502
0.000 5.565 3.242
0.000 0.000 3.958
-0.303 1.938 1.347
-2.990 7.642 1.347
-1.830 6.269 4.095
0.306 3.629 4.095
0.000 5.565 1.148
2.837 2.016 5.457
4.513 0.683 2.599
1.524 6.798 4.095
3.155 4.098 2.599
6.475 1.449 5.457
3.293 7.116 1.347
5.147 4.883 5.457
6.792 3.566 2.599
```

SG: No. 143
Formation energy without anion corrections: -1.833 eV per atom

No. 2
DFT (meta-GGA SCAN) results for a crystal of La5CuPb3 relaxed with PBEsol.

Structure (POSCAR):
```
La5CuPb3
1.0
9.657 0.000 0.000
-4.828 8.363 0.000
0.000 0.000 6.808
La Cu Pb
10 2 6
Cartesian
-1.256 2.176 1.702
-3.572 6.187 5.106
2.513 0.000 1.702
1.256 2.176 5.106
0.000 5.575 0.000
0.000 5.575 3.404
4.828 2.788 0.000
4.828 2.788 3.404
7.144 0.000 5.106
3.572 6.187 1.702
0.000 0.000 0.000
0.000 0.000 3.404
-1.847 3.199 5.106
-2.981 5.164 1.702
3.694 0.000 5.106
1.847 3.199 1.702
5.963 0.000 1.702
2.981 5.164 5.106
```

DFT formation energy: -0.737 eV/atom
SG: No. 193
Fermi-level density of states: 0.65 states/eV/atom

no.,VASP energy (eV/atom)
1,-22.49
2,-51.63